[1]
## Li2Pr2NdSi2 (PBE)

Data for an optimized crystal structure of Li2Pr2NdSi2.

Cell and atoms, written as POSCAR:
```
Li2Pr2NdSi2
1.0
2.2611 1.3054 9.4256
-2.2611 1.3054 9.4256
0.0000 -2.6109 9.4256
Li Pr Nd Si
2 2 1 2
Cartesian
0.0000 0.0000 2.9344 Li
0.0000 0.0000 25.3424 Li
0.0000 0.0000 10.5761 Pr
0.0000 0.0000 17.7007 Pr
0.0000 0.0000 14.1384 Nd
0.0000 0.0000 6.6148 Si
0.0000 0.0000 21.6620 Si
```

Results
The symmetry is No. 166. The total energy is -4.523 eV per atom.



[2]
## LaTc2Rh (PBE)

Data for an optimized crystal structure of LaTc2Rh.

Cell and atoms, written as POSCAR:
```
LaTc2Rh
1.0
2.8124 0.0000 0.0000
0.0000 2.8124 0.0000
0.0000 0.0000 8.9590
La Tc Rh
1 2 1
Cartesian
0.0000 0.0000 0.0000 La
1.4062 1.4062 2.6150 Tc
1.4062 1.4062 6.3439 Tc
0.0000 0.0000 4.4795 Rh
```

Results
For the formation energy, the calculation gives 1.53 eV/f.u. The calculation puts the offset from the most stable computed form at 327 meV/atom. The symmetry is No. 123.



[3]
## Rb2Ce2VSe6 (PBE)

Data for an optimized crystal structure of Rb2Ce2VSe6.

Cell and atoms, written as POSCAR:
```
Rb2Ce2VSe6
1.0
3.5613 -6.0834 0.0000
3.5613 6.0834 0.0000
-2.4494 0.0000 8.1936
Rb Ce V Se
2 2 1 6
Cartesian
3.5613 3.9933 0.0000 Rb
3.5613 -3.9933 0.0000 Rb
2.3366 2.0315 4.0968 Ce
2.3366 -2.0315 4.0968 Ce
-1.2247 0.0000 4.0968 V
-0.1141 1.8718 5.6394 Se
0.9502 0.0000 2.5691 Se
-0.1141 -1.8718 5.6394 Se
4.7872 1.8718 2.5543 Se
3.7229 0.0000 5.6245 Se
4.7872 -1.8718 2.5543 Se
```

Results
The symmetry is No. 12. The total energy is -5.367 eV per atom.



[4]
## La2MgPPb (PBE)

Data for an optimized crystal structure of La2MgPPb.

Cell and atoms, written as POSCAR:
```
La2MgPPb
1.0
6.0838 0.0000 0.0000
0.0000 6.0838 0.0000
0.0000 0.0000 5.0555
La Mg P Pb
2 1 1 1
Cartesian
0.0000 3.0419 0.0000 La
3.0419 0.0000 0.0000 La
0.0000 0.0000 2.5278 Mg
3.0419 3.0419 2.5278 P
0.0000 0.0000 0.0000 Pb
```

Results
For the formation energy, the calculation gives 1.22 eV/f.u. The symmetry is No. 123.



[5]
## BeTlAs2 (PBE)

Data for an optimized crystal structure of BeTlAs2.

Cell and atoms, written as POSCAR:
```
BeTlAs2
1.0
-2.7758 2.7758 6.0558
2.7758 -2.7758 6.0558
2.7758 2.7758 -6.0558
Be Tl As
2 2 4
Cartesian
0.0000 0.0000 0.0000 Be
0.0000 2.7758 3.0279 Be
2.7758 0.0000 3.0279 Tl
0.0000 0.0000 6.0558 Tl
4.1636 0.9263 -1.5140 As
0.9263 1.3879 1.5140 As
-1.3879 1.8494 4.5419 As
1.8494 1.3879 7.5698 As
```

Results
For the formation energy, the calculation gives 0.37 eV/f.u. The calculation puts the offset from the most stable computed form at 106 meV/atom. The symmetry is No. 122.



[6]
## LiSm3Ho2Se6 (PBE)

Data for an optimized crystal structure of LiSm3Ho2Se6.

Cell and atoms, written as POSCAR:
```
LiSm3Ho2Se6
1.0
3.5282 -6.1271 0.0000
3.5282 6.1271 0.0000
-2.3704 0.0000 6.7429
Li Sm Ho Se
1 3 2 6
Cartesian
0.0000 0.0000 0.0000 Li
2.3430 4.0864 3.3715 Sm
2.3430 0.0000 3.3715 Sm
2.3430 -4.0864 3.3715 Sm
3.5282 2.0259 0.0000 Ho
3.5282 -2.0259 0.0000 Ho
1.1424 1.9980 1.5890 Se
-0.0787 0.0000 5.1675 Se
1.1424 -1.9980 1.5890 Se
3.5436 1.9980 5.1539 Se
4.7648 0.0000 1.5754 Se
3.5436 -1.9980 5.1539 Se
```

Results
The symmetry is No. 12. The total energy is -5.612 eV per atom.



| no. | calculated volume (Å³ per atom) |
| --- | --- |
| 1 | 23.85 |
| 2 | 17.72 |
| 3 | 32.27 |
| 4 | 37.42 |
| 5 | 23.33 |
| 6 | 24.29 |